1.
Here is crystalline Ba4AgBi3O12 at its relaxed geometry from Alexandria via LeMat-Bulk. Energies are from PBE.

a b c (Å): 7.545 7.545 7.545
angles (deg): 109.47 109.47 109.47
Atoms (fractional coordinates):
Ba 0.000 0.000 0.500
Ba 0.000 0.500 0.000
Ba 0.500 0.000 0.000
Ba 0.500 0.500 0.500
Ag 0.000 0.000 0.000
Bi 0.000 0.500 0.500
Bi 0.500 0.000 0.500
Bi 0.500 0.500 0.000
O 0.000 0.257 0.257
O 0.000 0.743 0.743
O 0.250 0.500 0.750
O 0.250 0.750 0.500
O 0.257 0.000 0.257
O 0.257 0.257 0.000
O 0.500 0.250 0.750
O 0.500 0.750 0.250
O 0.743 0.000 0.743
O 0.743 0.743 0.000
O 0.750 0.250 0.500
O 0.750 0.500 0.250

Values from the calculation:
**Symmetry**: Im-3m
**Uncorrected formation energy**: -1643.0 meV per atom

=====

2.
Here is crystalline Ag2SbRu at its relaxed geometry from Alexandria via LeMat-Bulk. Energies are from PBE.

a b c (Å): 4.474 3.196 5.197
angles (deg): 90.00 103.97 90.00
Atoms (fractional coordinates):
Ag 0.000 0.000 0.000
Ag 0.500 0.500 0.000
Sb 0.000 0.500 0.500
Ru 0.500 0.000 0.500

Values from the calculation:
**Symmetry**: P2/m
**Uncorrected formation energy**: 256.1 meV per atom

=====

3.
Here is crystalline ThCoSn at its relaxed geometry from Alexandria via LeMat-Bulk. Energies are from PBE.

a b c (Å): 3.310 3.310 11.613
angles (deg): 90.00 90.00 90.00
Atoms (fractional coordinates):
Th 0.000 0.000 0.000
Th 0.500 0.500 0.500
Co 0.000 0.000 0.656
Co 0.500 0.500 0.156
Sn 0.000 0.000 0.282
Sn 0.500 0.500 0.782

Values from the calculation:
**E_form**: -0.7 eV per formula unit
**Symmetry**: I4mm

=====

4.
Here is crystalline Tb3Pr12Er at its relaxed geometry from Alexandria via LeMat-Bulk. Energies are from PBE.

a b c (Å): 5.195 5.195 20.719
angles (deg): 90.00 90.00 90.00
Atoms (fractional coordinates):
Tb 0.000 0.000 0.000
Tb 0.000 0.000 0.251
Tb 0.000 0.000 0.749
Pr 0.000 0.500 0.125
Pr 0.000 0.500 0.376
Pr 0.000 0.500 0.624
Pr 0.000 0.500 0.875
Pr 0.500 0.000 0.125
Pr 0.500 0.000 0.376
Pr 0.500 0.000 0.624
Pr 0.500 0.000 0.875
Pr 0.500 0.500 0.000
Pr 0.500 0.500 0.251
Pr 0.500 0.500 0.500
Pr 0.500 0.500 0.749
Er 0.000 0.000 0.500

Values from the calculation:
**E_form**: 0.2 eV per formula unit
**Symmetry**: P4/mmm

=====

5.
Here is crystalline CaIn2Ni at its relaxed geometry from Alexandria via LeMat-Bulk. Energies are from PBE.

a b c (Å): 6.940 6.940 6.940
angles (deg): 90.00 90.00 90.00
Atoms (fractional coordinates):
Ca 0.000 0.000 0.000
Ca 0.000 0.500 0.500
Ca 0.500 0.000 0.500
Ca 0.500 0.500 0.000
In 0.250 0.250 0.250
In 0.250 0.250 0.750
In 0.250 0.750 0.250
In 0.250 0.750 0.750
In 0.750 0.250 0.250
In 0.750 0.250 0.750
In 0.750 0.750 0.250
In 0.750 0.750 0.750
Ni 0.000 0.000 0.500
Ni 0.000 0.500 0.000
Ni 0.500 0.000 0.000
Ni 0.500 0.500 0.500

Values from the calculation:
**E_form**: -0.5 eV per formula unit
**Symmetry**: Fm-3m

=====

6.
Here is crystalline CdCu2Pt at its relaxed geometry from Alexandria via LeMat-Bulk. Energies are from PBE.

a b c (Å): 2.815 2.815 26.475
angles (deg): 90.00 90.00 120.00
Atoms (fractional coordinates):
Cd 0.000 0.000 0.000
Cd 0.333 0.667 0.667
Cd 0.667 0.333 0.333
Cu 0.000 0.000 0.247
Cu 0.000 0.000 0.507
Cu 0.333 0.667 0.174
Cu 0.333 0.667 0.914
Cu 0.667 0.333 0.580
Cu 0.667 0.333 0.840
Pt 0.000 0.000 0.760
Pt 0.333 0.667 0.427
Pt 0.667 0.333 0.094

Values from the calculation:
**E_form**: -0.1 eV per formula unit
**Symmetry**: R3m

=====

7.
Here is crystalline Ca2CuHgP at its relaxed geometry from Alexandria via LeMat-Bulk. Energies are from PBE.

a b c (Å): 5.677 5.677 4.717
angles (deg): 90.00 90.00 90.00
Atoms (fractional coordinates):
Ca 0.000 0.500 0.000
Ca 0.500 0.000 0.000
Cu 0.000 0.000 0.500
Hg 0.000 0.000 0.000
P 0.500 0.500 0.500

Values from the calculation:
**E_form**: 1.2 eV per formula unit
**Symmetry**: P4/mmm

=====

8.
Here is crystalline TaZnB3 at its relaxed geometry from Alexandria via LeMat-Bulk. Energies are from PBE.

a b c (Å): 3.877 3.877 3.877
angles (deg): 90.00 90.00 90.00
Atoms (fractional coordinates):
Ta 0.000 0.000 0.000
Zn 0.500 0.500 0.500
B 0.000 0.500 0.500
B 0.500 0.000 0.500
B 0.500 0.500 0.000

Values from the calculation:
**E_form**: 8.4 eV per formula unit
**Symmetry**: Pm-3m
**Offset from the most stable computed form**: 147 meV per atom

=====

9.
Here is crystalline EuTl4Cd at its relaxed geometry from Alexandria via LeMat-Bulk. Energies are from PBE.

a b c (Å): 6.430 6.430 6.430
angles (deg): 60.00 60.00 60.00
Atoms (fractional coordinates):
Eu 0.000 0.000 0.000
Tl 0.375 0.375 0.375
Tl 0.375 0.375 0.874
Tl 0.375 0.874 0.375
Tl 0.874 0.375 0.375
Cd 0.750 0.750 0.750

Values from the calculation:
**E_form**: -0.3 eV per formula unit
**Symmetry**: F-43m

=====

10.
Here is crystalline La9TbEr2 at its relaxed geometry from Alexandria via LeMat-Bulk. Energies are from PBE.

a b c (Å): 5.197 5.197 15.592
angles (deg): 90.00 90.00 90.00
Atoms (fractional coordinates):
La 0.000 0.000 0.000
La 0.000 0.000 0.333
La 0.000 0.000 0.667
La 0.000 0.500 0.167
La 0.000 0.500 0.500
La 0.000 0.500 0.833
La 0.500 0.000 0.167
La 0.500 0.000 0.500
La 0.500 0.000 0.833
Tb 0.500 0.500 0.000
Er 0.500 0.500 0.334
Er 0.500 0.500 0.666

Values from the calculation:
**E_form**: 0.1 eV per formula unit
**Symmetry**: P4/mmm

=====

11.
Here is crystalline Rb2CuBiF6 at its relaxed geometry from Alexandria via LeMat-Bulk. Energies are from PBE.

a b c (Å): 6.444 6.444 6.444
angles (deg): 121.57 121.57 87.30
Atoms (fractional coordinates):
Rb 0.250 0.750 0.500
Rb 0.750 0.250 0.500
Cu 0.000 0.000 0.000
Bi 0.500 0.500 0.000
F 0.242 0.242 0.484
F 0.242 0.758 0.000
F 0.255 0.255 0.000
F 0.745 0.745 0.000
F 0.758 0.242 0.000
F 0.758 0.758 0.516

Values from the calculation:
**Symmetry**: I4/mmm
**Uncorrected formation energy**: -2264.8 meV per atom

=====

12.
Here is crystalline LuPaReRh at its relaxed geometry from Alexandria via LeMat-Bulk. Energies are from PBE.

a b c (Å): 6.832 6.832 6.832
angles (deg): 90.00 90.00 90.00
Atoms (fractional coordinates):
Lu 0.000 0.000 0.000
Lu 0.000 0.500 0.500
Lu 0.500 0.000 0.500
Lu 0.500 0.500 0.000
Pa 0.000 0.000 0.500
Pa 0.000 0.500 0.000
Pa 0.500 0.000 0.000
Pa 0.500 0.500 0.500
Re 0.250 0.250 0.750
Re 0.250 0.750 0.250
Re 0.750 0.250 0.250
Re 0.750 0.750 0.750
Rh 0.250 0.250 0.250
Rh 0.250 0.750 0.750
Rh 0.750 0.250 0.750
Rh 0.750 0.750 0.250

Values from the calculation:
**E_form**: -1.6 eV per formula unit
**Symmetry**: F-43m

=====

13.
Here is crystalline Sm5P4Cl at its relaxed geometry from Alexandria via LeMat-Bulk. Energies are from PBE.

a b c (Å): 7.114 7.114 10.104
angles (deg): 118.32 118.32 33.49
Atoms (fractional coordinates):
Sm 0.000 0.000 0.000
Sm 0.207 0.207 0.815
Sm 0.391 0.391 0.612
Sm 0.609 0.609 0.388
Sm 0.793 0.793 0.185
P 0.205 0.205 0.302
P 0.403 0.403 0.106
P 0.597 0.597 0.894
P 0.795 0.795 0.698
Cl 0.000 0.000 0.500

Values from the calculation:
**Symmetry**: C2/m
**Uncorrected formation energy**: -1633.5 meV per atom